VASP calculation (PBE) on a geometry-optimized Fe2NiB structure.

Computed properties:
**Spin magnetization**: 4.651 μB/f.u.
**E**: -113.47 eV per cell
**Crystal system**: cubic
**Theoretical density**: 7.7 g/cm³

The structure in CIF format:
```
data_Fe2NiB
_chemical_formula_sum 'Fe8 Ni4 B4'
_cell_length_a 5.392
_cell_length_b 5.392
_cell_length_c 5.392
_cell_angle_alpha 90.00
_cell_angle_beta 90.00
_cell_angle_gamma 90.00
_space_group_name_H-M_alt 'F -4 3 m'
_space_group_IT_number 216
_space_group_name_Hall 'F -4 2 3'
loop_
_atom_site_label
_atom_site_type_symbol
_atom_site_fract_x
_atom_site_fract_y
_atom_site_fract_z
Fe1 Fe 0.000 0.000 0.000
Fe2 Fe 0.250 0.250 0.250
Ni1 Ni 0.000 0.000 0.500
B1 B 0.250 0.250 0.750
```